DFT (PBE) results for a relaxed structure of BeBMo4.

Cell lengths 4.791, 5.647, 5.647 Å; angles 90.00, 90.00, 90.00 degrees
Fractional positions:
Mo: 0.000 0.341 0.175
Mo: 0.500 0.175 0.341
Mo: 0.000 0.659 0.825
Mo: 0.000 0.825 0.341
Mo: 0.000 0.175 0.659
B: 0.250 0.500 0.500
Be: 0.250 0.000 0.000
Mo: 0.500 0.825 0.659
Mo: 0.500 0.341 0.825
B: 0.750 0.500 0.500
Mo: 0.500 0.659 0.175
Be: 0.750 0.000 0.000

Properties
**Final energy**: -9.20 eV per atom
**Symmetry**: No. 124
**Magnetic moment**: 0.000 μB/cell
**Formation enthalpy at 0 K**: -243.3 meV/atom
**Offset from the most stable computed form**: 0 meV/atom